# 1
The following is a PBE calculation of BaInGePd2 after structural relaxation, from OQMD.

As for the final energy: -4.58 eV per atom.

It has space group P4/nmm (No. 129, origin choice 2), with a = 4.587 Å, b = 4.587 Å, c = 11.046 Å, α = 90.00°, β = 90.00° and γ = 90.00°. The inequivalent atoms are Ba at (0.250, 0.250, 0.236), In at (0.250, 0.750, 0.500), Ge at (0.250, 0.250, 0.892), Pd at (0.250, 0.250, 0.653) and Pd at (0.250, 0.750, 0.000).

# 2
The following is a PBE calculation of Ba2GeIr after structural relaxation, from OQMD.

As for the final energy: -4.18 eV per atom.

It has space group F-43m (No. 216), with a = 7.524 Å, b = 7.524 Å, c = 7.524 Å, α = 90.00°, β = 90.00° and γ = 90.00°. The inequivalent atoms are Ba at (0.000, 0.000, 0.000), Ba at (0.250, 0.250, 0.250), Ge at (0.000, 0.000, 0.500) and Ir at (0.250, 0.250, 0.750).

# 3
The following is a PBE calculation of BaGeIr after structural relaxation, from OQMD.

As for the final energy: -4.08 eV per atom.

It has space group F-43m (No. 216), with a = 7.053 Å, b = 7.053 Å, c = 7.053 Å, α = 90.00°, β = 90.00° and γ = 90.00°. The inequivalent atoms are Ba at (0.000, 0.000, 0.000), Ge at (0.250, 0.250, 0.750) and Ir at (0.250, 0.250, 0.250).